DFT (GGA-PBEsol) results for a relaxed structure of BaMnHg4.

Cell and atoms, written as CIF:
```
data_BaMnHg4
_chemical_formula_sum 'Ba1 Mn1 Hg4'
_cell_length_a 5.9743
_cell_length_b 5.9743
_cell_length_c 5.9743
_cell_angle_alpha 60.00
_cell_angle_beta 60.00
_cell_angle_gamma 60.00
_space_group_name_H-M_alt 'P 1'
_space_group_IT_number 1
_space_group_name_Hall 'P 1'
loop_
_atom_site_label
_atom_site_type_symbol
_atom_site_fract_x
_atom_site_fract_y
_atom_site_fract_z
_atom_site_occupancy
Ba1 Ba 0.0000 0.0000 0.0000 1
Mn1 Mn 0.7500 0.7500 0.7500 1
Hg1 Hg 0.3758 0.3758 0.3758 1
Hg2 Hg 0.3758 0.3758 0.8725 1
Hg3 Hg 0.3758 0.8725 0.3758 1
Hg4 Hg 0.8725 0.3758 0.3758 1
```

## Properties
The value obtained for the density is 11.0 Mg/m³. The calculation puts the total magnetization at 4.12 μB per cell.

DFT (GGA-PBEsol) results for a relaxed structure of BaMn2Hg.

Cell and atoms, written as CIF:
```
data_BaMn2Hg
_chemical_formula_sum 'Ba1 Mn2 Hg1'
_cell_length_a 6.1705
_cell_length_b 6.1705
_cell_length_c 3.1906
_cell_angle_alpha 104.33
_cell_angle_beta 104.33
_cell_angle_gamma 117.84
_space_group_name_H-M_alt 'P 1'
_space_group_IT_number 1
_space_group_name_Hall 'P 1'
loop_
_atom_site_label
_atom_site_type_symbol
_atom_site_fract_x
_atom_site_fract_y
_atom_site_fract_z
_atom_site_occupancy
Ba1 Ba 0.0000 0.0000 0.0000 1
Mn1 Mn 0.0000 0.5000 0.5000 1
Mn2 Mn 0.5000 0.0000 0.5000 1
Hg1 Hg 0.5000 0.5000 0.0000 1
```

## Properties
The value obtained for the density is 7.9 Mg/m³. The calculation puts the total magnetization at 7.80 μB per cell. The calculation puts the energy above the most stable polymorph in this dataset at 13.21 kJ per mole of atoms.

DFT (GGA-PBEsol) results for a relaxed structure of BaHgMo3.

Cell and atoms, written as CIF:
```
data_BaHgMo3
_chemical_formula_sum 'Ba1 Hg1 Mo3'
_cell_length_a 5.1408
_cell_length_b 5.1408
_cell_length_c 5.1408
_cell_angle_alpha 90.00
_cell_angle_beta 90.00
_cell_angle_gamma 90.00
_space_group_name_H-M_alt 'P 1'
_space_group_IT_number 1
_space_group_name_Hall 'P 1'
loop_
_atom_site_label
_atom_site_type_symbol
_atom_site_fract_x
_atom_site_fract_y
_atom_site_fract_z
_atom_site_occupancy
Ba1 Ba 0.0000 0.0000 0.0000 1
Hg1 Hg 0.5000 0.5000 0.5000 1
Mo1 Mo 0.0000 0.5000 0.5000 1
Mo2 Mo 0.5000 0.0000 0.5000 1
Mo3 Mo 0.5000 0.5000 0.0000 1
```

## Properties
The value obtained for the density is 7.6 Mg/m³. The calculation puts the total magnetization at 7.83 μB per cell.

| no. | VASP energy (eV per cell) | DFT formation energy (eV/atom) |
| --- | --- | --- |
| 1 | -13.8 | 0.0654 |
| 2 | -18.8 | 0.8612 |
| 3 | -26.7 | 2.2627 |